Model A:
DFT (PBE) results for a relaxed structure of LuInPO. Values from VASP.

```
&SYSTEM
  ibrav = 0, nat = 8, ntyp = 4
/
ATOMIC_SPECIES
In 114.82 In.upf
Lu 174.97 Lu.upf
O 16.00 O.upf
P 30.97 P.upf
CELL_PARAMETERS angstrom
5.4123 0.0000 0.0000
0.0000 5.4123 0.0000
0.0000 0.0000 4.9824
ATOMIC_POSITIONS crystal
In 0.0000 0.5000 0.0107
In 0.5000 0.0000 0.9893
Lu 0.0000 0.0000 0.5000
Lu 0.5000 0.5000 0.5000
O 0.0000 0.0000 0.0000
O 0.5000 0.5000 0.0000
P 0.5000 0.0000 0.4883
P 0.0000 0.5000 0.5117
```

Values from the calculation:
Space group: P4/nmm (129)

---

Model B:
DFT (PBE) results for a relaxed structure of LuInPO. Values from VASP.

```
&SYSTEM
  ibrav = 0, nat = 8, ntyp = 4
/
ATOMIC_SPECIES
In 114.82 In.upf
Lu 174.97 Lu.upf
O 16.00 O.upf
P 30.97 P.upf
CELL_PARAMETERS angstrom
4.4325 0.0000 0.0000
0.0000 6.4580 0.0000
0.0000 0.0000 6.3062
ATOMIC_POSITIONS crystal
In 0.0000 0.7066 0.4555
In 0.0000 0.2934 0.9555
Lu 0.5000 0.8598 0.0457
Lu 0.5000 0.1402 0.5457
O 0.5000 0.8631 0.3787
O 0.5000 0.1369 0.8787
P 0.0000 0.3077 0.3741
P 0.0000 0.6923 0.8741
```

Values from the calculation:
Space group: Pmc2_1 (26)

---

Model C:
DFT (PBE) results for a relaxed structure of LuInPO. Values from VASP.

```
&SYSTEM
  ibrav = 0, nat = 8, ntyp = 4
/
ATOMIC_SPECIES
In 114.82 In.upf
Lu 174.97 Lu.upf
O 16.00 O.upf
P 30.97 P.upf
CELL_PARAMETERS angstrom
-1.0647 -0.7157 -4.1742
2.6798 -3.4467 -0.0926
-6.0554 -4.7715 2.3626
ATOMIC_POSITIONS crystal
In 0.0000 0.0000 0.1025
In 0.5000 0.5000 0.8975
Lu 0.5000 0.0000 0.5000
Lu 0.0000 0.5000 0.5000
O 0.5000 0.0000 0.0000
O 0.0000 0.5000 0.0000
P 0.5000 0.5000 0.3152
P 0.0000 0.0000 0.6848
```

Values from the calculation:
Space group: P4/nmm (129)

---

Relative to the most stable structure, the computed energies are model A 11.1; model B 0.0; model C 56.1, all in kJ/mol of atoms.

---

Model A:
DFT (PBE) results for a relaxed structure of RbLuIn. Values from VASP.

```
&SYSTEM
  ibrav = 0, nat = 3, ntyp = 3
/
ATOMIC_SPECIES
In 114.82 In.upf
Lu 174.97 Lu.upf
Rb 85.47 Rb.upf
CELL_PARAMETERS angstrom
1.4918 -4.7893 2.4588
1.2093 -0.0817 5.4534
-3.4735 -2.4948 3.5943
ATOMIC_POSITIONS crystal
In 0.0000 0.0000 0.0000
Lu 0.2500 0.2500 0.2500
Rb 0.7500 0.7500 0.7500
```

Values from the calculation:
Space group: F-43m (216)

---

Model B:
DFT (PBE) results for a relaxed structure of RbLuIn. Values from VASP.

```
&SYSTEM
  ibrav = 0, nat = 3, ntyp = 3
/
ATOMIC_SPECIES
In 114.82 In.upf
Lu 174.97 Lu.upf
Rb 85.47 Rb.upf
CELL_PARAMETERS angstrom
-0.6111 -5.2897 -1.4895
-4.2564 -1.4984 -3.1954
0.8791 -1.5147 -5.2446
ATOMIC_POSITIONS crystal
In 0.2500 0.2500 0.2500
Lu 0.7500 0.7500 0.7500
Rb 0.0000 0.0000 0.0000
```

Values from the calculation:
Space group: F-43m (216)

---

Relative to the most stable structure, the computed energies are model A 0.0; model B 45.0, all in kJ/mol of atoms.

---

Model A:
DFT (PBE) results for a relaxed structure of LuScIn. Values from VASP.

```
&SYSTEM
  ibrav = 0, nat = 3, ntyp = 3
/
ATOMIC_SPECIES
In 114.82 In.upf
Lu 174.97 Lu.upf
Sc 44.96 Sc.upf
CELL_PARAMETERS angstrom
0.0000 3.5107 3.5107
3.5107 0.0000 3.5107
3.5107 3.5107 0.0000
ATOMIC_POSITIONS crystal
In 0.0000 0.0000 0.0000
Lu 0.2500 0.2500 0.2500
Sc 0.7500 0.7500 0.7500
```

Values from the calculation:
Space group: F-43m (216)

---

Model B:
DFT (PBE) results for a relaxed structure of LuScIn. Values from VASP.

```
&SYSTEM
  ibrav = 0, nat = 6, ntyp = 3
/
ATOMIC_SPECIES
In 114.82 In.upf
Lu 174.97 Lu.upf
Sc 44.96 Sc.upf
CELL_PARAMETERS angstrom
-1.3276 4.6795 -1.6328
-3.6284 -3.4256 1.1944
-0.0011 2.1292 6.1032
ATOMIC_POSITIONS crystal
In 0.3333 0.6667 0.2500
In 0.6667 0.3333 0.7500
Lu 0.0000 0.0000 0.0000
Lu 0.0000 0.0000 0.5000
Sc 0.6667 0.3333 0.2500
Sc 0.3333 0.6667 0.7500
```

Values from the calculation:
Space group: P6_3/mmc (194)

---

Model C:
DFT (PBE) results for a relaxed structure of LuScIn. Values from VASP.

```
&SYSTEM
  ibrav = 0, nat = 6, ntyp = 3
/
ATOMIC_SPECIES
In 114.82 In.upf
Lu 174.97 Lu.upf
Sc 44.96 Sc.upf
CELL_PARAMETERS angstrom
-2.9935 3.4168 2.4800
3.1962 -3.0644 2.6795
4.6170 4.3946 -0.4816
ATOMIC_POSITIONS crystal
In 0.3333 0.6667 0.2500
In 0.6667 0.3333 0.7500
Lu 0.6667 0.3333 0.2500
Lu 0.3333 0.6667 0.7500
Sc 0.0000 0.0000 0.0000
Sc 0.0000 0.0000 0.5000
```

Values from the calculation:
Space group: P6_3/mmc (194)

---

Relative to the most stable structure, the computed energies are model A 29.8; model B 0.0; model C 2.6, all in kJ/mol of atoms.

---

Model A:
DFT (PBE) results for a relaxed structure of TbLuInTe3. Values from VASP.

```
&SYSTEM
  ibrav = 0, nat = 12, ntyp = 4
/
ATOMIC_SPECIES
In 114.82 In.upf
Lu 174.97 Lu.upf
Tb 158.93 Tb.upf
Te 127.60 Te.upf
CELL_PARAMETERS angstrom
-4.1364 6.7106 -0.1833
0.9435 -7.2016 3.0695
7.0394 4.5729 8.5652
ATOMIC_POSITIONS crystal
In 0.7512 0.2488 0.2500
In 0.2488 0.7512 0.7500
Lu 0.0757 0.9243 0.2500
Lu 0.9243 0.0757 0.7500
Tb 0.5000 0.5000 0.0000
Tb 0.5000 0.5000 0.5000
Te 0.1463 0.8537 0.0256
Te 0.4407 0.5593 0.2500
Te 0.1463 0.8537 0.4744
Te 0.8537 0.1463 0.5256
Te 0.5593 0.4407 0.7500
Te 0.8537 0.1463 0.9744
```

Values from the calculation:
Space group: Cmcm (63)

---

Model B:
DFT (PBE) results for a relaxed structure of TbLuInTe3. Values from VASP.

```
&SYSTEM
  ibrav = 0, nat = 12, ntyp = 4
/
ATOMIC_SPECIES
In 114.82 In.upf
Lu 174.97 Lu.upf
Tb 158.93 Tb.upf
Te 127.60 Te.upf
CELL_PARAMETERS angstrom
-4.7842 -0.5157 6.3177
3.8280 -3.6101 -5.9482
9.5437 -1.5761 7.0984
ATOMIC_POSITIONS crystal
In 0.7645 0.2355 0.2500
In 0.2355 0.7645 0.7500
Lu 0.5000 0.5000 0.0000
Lu 0.5000 0.5000 0.5000
Tb 0.0918 0.9082 0.2500
Tb 0.9082 0.0918 0.7500
Te 0.1419 0.8581 0.0121
Te 0.4507 0.5493 0.2500
Te 0.1419 0.8581 0.4879
Te 0.8581 0.1419 0.5121
Te 0.5493 0.4507 0.7500
Te 0.8581 0.1419 0.9879
```

Values from the calculation:
Space group: Cmcm (63)

---

Relative to the most stable structure, the computed energies are model A 0.0; model B 0.8, all in kJ/mol of atoms.

---

Model A:
DFT (PBE) results for a relaxed structure of YLuInTe3. Values from VASP.

```
&SYSTEM
  ibrav = 0, nat = 12, ntyp = 4
/
ATOMIC_SPECIES
In 114.82 In.upf
Lu 174.97 Lu.upf
Te 127.60 Te.upf
Y 88.91 Y.upf
CELL_PARAMETERS angstrom
-7.9961 0.3574 -0.3289
6.9988 -1.1618 -3.7203
-0.6279 -11.7568 2.4902
ATOMIC_POSITIONS crystal
In 0.7687 0.2313 0.2500
In 0.2313 0.7687 0.7500
Lu 0.5000 0.5000 0.0000
Lu 0.5000 0.5000 0.5000
Te 0.1409 0.8591 0.0096
Te 0.4584 0.5416 0.2500
Te 0.1409 0.8591 0.4904
Te 0.8591 0.1409 0.5096
Te 0.5416 0.4584 0.7500
Te 0.8591 0.1409 0.9904
Y 0.0990 0.9010 0.2500
Y 0.9010 0.0990 0.7500
```

Values from the calculation:
Space group: Cmcm (63)

---

Model B:
DFT (PBE) results for a relaxed structure of YLuInTe3. Values from VASP.

```
&SYSTEM
  ibrav = 0, nat = 12, ntyp = 4
/
ATOMIC_SPECIES
In 114.82 In.upf
Lu 174.97 Lu.upf
Te 127.60 Te.upf
Y 88.91 Y.upf
CELL_PARAMETERS angstrom
-1.4888 6.3066 7.1431
-2.3678 2.5257 9.0016
9.7892 -1.9479 0.6669
ATOMIC_POSITIONS crystal
In 0.1419 0.1419 0.0512
In 0.8581 0.8581 0.9488
Lu 0.4967 0.4967 0.2896
Lu 0.5033 0.5033 0.7104
Te 0.5000 0.5000 0.0000
Te 0.3333 0.3333 0.2066
Te 0.6626 0.6626 0.3465
Te 0.0000 0.0000 0.5000
Te 0.3374 0.3374 0.6535
Te 0.6667 0.6667 0.7934
Y 0.8291 0.8291 0.4254
Y 0.1709 0.1709 0.5746
```

Values from the calculation:
Space group: C2/m (12)

---

Relative to the most stable structure, the computed energies are model A 4.4; model B 0.0, all in kJ/mol of atoms.

---

Model A:
DFT (PBE) results for a relaxed structure of YLuTlIn. Values from VASP.

```
&SYSTEM
  ibrav = 0, nat = 4, ntyp = 4
/
ATOMIC_SPECIES
In 114.82 In.upf
Lu 174.97 Lu.upf
Tl 204.38 Tl.upf
Y 88.91 Y.upf
CELL_PARAMETERS angstrom
0.0000 3.8084 3.8084
3.8084 0.0000 3.8084
3.8084 3.8084 0.0000
ATOMIC_POSITIONS crystal
In 0.0000 0.0000 0.0000
Lu 0.5000 0.5000 0.5000
Tl 0.2500 0.2500 0.2500
Y 0.7500 0.7500 0.7500
```

Values from the calculation:
Space group: F-43m (216)

---

Model B:
DFT (PBE) results for a relaxed structure of YLuTlIn. Values from VASP.

```
&SYSTEM
  ibrav = 0, nat = 4, ntyp = 4
/
ATOMIC_SPECIES
In 114.82 In.upf
Lu 174.97 Lu.upf
Tl 204.38 Tl.upf
Y 88.91 Y.upf
CELL_PARAMETERS angstrom
0.0000 3.7465 3.7465
3.7465 0.0000 3.7465
3.7465 3.7465 0.0000
ATOMIC_POSITIONS crystal
In 0.0000 0.0000 0.0000
Lu 0.2500 0.2500 0.2500
Tl 0.5000 0.5000 0.5000
Y 0.7500 0.7500 0.7500
```

Values from the calculation:
Space group: F-43m (216)

---

Relative to the most stable structure, the computed energies are model A 44.1; model B 0.0, all in kJ/mol of atoms.